The following is a GGA-PBE calculation of a relaxed Hg2OsRh crystal, from Alexandria via LeMat-Bulk.

Structure (POSCAR):
```
Hg2OsRh
1.0
-1.1935 -0.0556 -2.6891
2.1599 -3.2356 -0.8917
-4.3736 -3.4745 2.0131
Rh Hg Os
1 2 1
direct
0.5000 0.5000 0.5000 Rh
0.0000 0.0000 0.7479 Hg
0.0000 0.0000 0.2521 Hg
0.5000 0.5000 0.0000 Os
```

space-group type	Pmmm
calculated formation energy	3.0	eV/f.u.
V	70	Å³/cell